Below is NdBeNiP2 after structural relaxation, with properties calculated at the PBE level.

Structure (CIF):
```
data_NdBeNiP2
_space_group_name_H-M_alt 'I -4 m 2'
_space_group_IT_number 119
_space_group_name_Hall 'I -4 -2'
_cell_length_a 3.731
_cell_length_b 3.731
_cell_length_c 11.086
_cell_angle_alpha 90.00
_cell_angle_beta 90.00
_cell_angle_gamma 90.00
loop_
_atom_site_label
_atom_site_fract_x
_atom_site_fract_y
_atom_site_fract_z
Nd1 0.000 0.000 0.000
Be1 0.000 0.500 0.250
Ni1 0.000 0.500 0.750
P1 0.000 0.000 0.364
```

Output
calculated formation energy	-0.838	eV/atom

Below is Nd2BeNi3P4 after structural relaxation, with properties calculated at the PBE level.

Structure (CIF):
```
data_Nd2BeNi3P4
_space_group_name_H-M_alt 'P -4 m 2'
_space_group_IT_number 115
_space_group_name_Hall 'P -4 -2'
_cell_length_a 4.026
_cell_length_b 4.026
_cell_length_c 9.274
_cell_angle_alpha 90.00
_cell_angle_beta 90.00
_cell_angle_gamma 90.00
loop_
_atom_site_label
_atom_site_fract_x
_atom_site_fract_y
_atom_site_fract_z
Nd1 0.000 0.500 0.247
Be1 0.000 0.000 0.500
Ni1 0.000 0.500 0.885
Ni2 0.500 0.500 0.500
P1 0.000 0.000 0.000
P2 0.000 0.500 0.630
P3 0.500 0.500 0.000
```

Output
calculated formation energy	-0.890	eV/atom

Below is Nd2Be4NiPt3 after structural relaxation, with properties calculated at the PBE level.

Structure (CIF):
```
data_Nd2Be4NiPt3
_space_group_name_H-M_alt 'P -4 m 2'
_space_group_IT_number 115
_space_group_name_Hall 'P -4 -2'
_cell_length_a 4.020
_cell_length_b 4.020
_cell_length_c 9.680
_cell_angle_alpha 90.00
_cell_angle_beta 90.00
_cell_angle_gamma 90.00
loop_
_atom_site_label
_atom_site_fract_x
_atom_site_fract_y
_atom_site_fract_z
Nd1 0.000 0.500 0.246
Be1 0.000 0.000 0.500
Be2 0.000 0.500 0.884
Be3 0.500 0.500 0.500
Ni1 0.500 0.500 0.000
Pt1 0.000 0.000 0.000
Pt2 0.000 0.500 0.626
```

Output
calculated formation energy	-0.721	eV/atom

Below is Nd2BeNiPt6 after structural relaxation, with properties calculated at the PBE level.

Structure (CIF):
```
data_Nd2BeNiPt6
_space_group_name_H-M_alt 'R -3 m'
_space_group_IT_number 166
_space_group_name_Hall '-R 3 2"'
_cell_length_a 5.7102
_cell_length_b 5.7102
_cell_length_c 19.6933
_cell_angle_alpha 90.00
_cell_angle_beta 90.00
_cell_angle_gamma 120.00
loop_
_atom_site_label
_atom_site_fract_x
_atom_site_fract_y
_atom_site_fract_z
Nd1 0.0000 0.0000 0.2098
Be1 0.0000 0.0000 0.0000
Ni1 0.0000 0.0000 0.5000
Pt1 0.0137 0.5068 0.2660
```

Output
calculated formation energy	-0.700	eV/atom

Below is Nd2BeSi4Ni3 after structural relaxation, with properties calculated at the PBE level.

Structure (CIF):
```
data_Nd2BeSi4Ni3
_space_group_name_H-M_alt 'P -4 m 2'
_space_group_IT_number 115
_space_group_name_Hall 'P -4 -2'
_cell_length_a 4.028
_cell_length_b 4.028
_cell_length_c 9.613
_cell_angle_alpha 90.00
_cell_angle_beta 90.00
_cell_angle_gamma 90.00
loop_
_atom_site_label
_atom_site_fract_x
_atom_site_fract_y
_atom_site_fract_z
Nd1 0.000 0.500 0.249
Be1 0.500 0.500 0.000
Si1 0.000 0.000 0.500
Si2 0.000 0.500 0.871
Si3 0.500 0.500 0.500
Ni1 0.000 0.000 0.000
Ni2 0.000 0.500 0.622
```

Output
uncorrected formation energy	-704	kJ/mol of formula units

Below is Nd2BeSi3Ni12 after structural relaxation, with properties calculated at the PBE level.

Structure (CIF):
```
data_Nd2BeSi3Ni12
_space_group_name_H-M_alt 'R -3 m'
_space_group_IT_number 166
_space_group_name_Hall '-R 3 2"'
_cell_length_a 6.2239
_cell_length_b 6.2239
_cell_length_c 22.8498
_cell_angle_alpha 90.00
_cell_angle_beta 90.00
_cell_angle_gamma 120.00
loop_
_atom_site_label
_atom_site_fract_x
_atom_site_fract_y
_atom_site_fract_z
Nd1 0.0000 0.0000 0.1573
Be1 0.0000 0.0000 0.5000
Si1 0.0000 0.5000 0.0000
Ni1 0.0641 0.5321 0.6206
Ni2 0.0656 0.5328 0.0991
```

Output
uncorrected formation energy	-231	kJ/mol of formula units

Below is Nd2Be4Si3Ni after structural relaxation, with properties calculated at the PBE level.

Structure (CIF):
```
data_Nd2Be4Si3Ni
_space_group_name_H-M_alt 'P -4 m 2'
_space_group_IT_number 115
_space_group_name_Hall 'P -4 -2'
_cell_length_a 3.900
_cell_length_b 3.900
_cell_length_c 9.781
_cell_angle_alpha 90.00
_cell_angle_beta 90.00
_cell_angle_gamma 90.00
loop_
_atom_site_label
_atom_site_fract_x
_atom_site_fract_y
_atom_site_fract_z
Nd1 0.000 0.500 0.249
Be1 0.000 0.000 0.000
Be2 0.000 0.500 0.625
Be3 0.500 0.500 0.000
Si1 0.000 0.500 0.868
Si2 0.500 0.500 0.500
Ni1 0.000 0.000 0.500
```

Output
uncorrected formation energy	-424	kJ/mol of formula units

Below is Nd3BeO6 after structural relaxation, with properties calculated at the PBE level.

Structure (CIF):
```
data_Nd3BeO6
_space_group_name_H-M_alt 'C m c 21'
_space_group_IT_number 36
_space_group_name_Hall 'C 2c -2'
_cell_length_a 9.404
_cell_length_b 11.620
_cell_length_c 5.235
_cell_angle_alpha 90.00
_cell_angle_beta 90.00
_cell_angle_gamma 90.00
loop_
_atom_site_label
_atom_site_fract_x
_atom_site_fract_y
_atom_site_fract_z
Nd1 0.000 0.112 0.000
Nd2 0.189 0.384 0.949
Be1 0.000 0.302 0.412
O1 0.000 0.286 0.726
O2 0.000 0.449 0.317
O3 0.142 0.243 0.267
O4 0.160 0.012 0.720
```

Output
uncorrected formation energy	-2850	kJ/mol of formula units

no.,uncorrected energy (eV/atom)
1,-5.8570
2,-6.1146
3,-5.5554
4,-6.2291
5,-5.9592
6,-5.6281
7,-5.0883
8,-7.7318